Entry 1:
Below is Dy4SiSnC after structural relaxation, with properties calculated at the PBE level.

- calculated total energy (eV per atom) = -5.871
- ΔE_f (raw) (eV per atom) = -0.577
- space group = Cmcm (63)
- DOS at the Fermi energy (states/eV per cell) = 1.2

Cell: 8.461 8.461 6.701 Å, 90.00 90.00 133.37°
Element x y z (fractional)
Dy1 0.000 0.500 0.000
Dy2 0.000 0.500 0.500
Dy3 0.082 0.918 0.750
Dy4 0.410 0.590 0.750
Dy5 0.500 0.000 0.000
Dy6 0.500 0.000 0.500
Dy7 0.590 0.410 0.250
Dy8 0.918 0.082 0.250
Si1 0.116 0.884 0.250
Si2 0.884 0.116 0.750
Sn1 0.392 0.608 0.250
Sn2 0.608 0.392 0.750
C1 0.248 0.752 0.750
C2 0.752 0.248 0.250

***

Entry 2:
Below is Dy2Si2Tc2C after structural relaxation, with properties calculated at the PBE level.

- calculated total energy (eV per atom) = -7.829
- ΔE_f (raw) (eV per atom) = -0.686
- space group = C2/m (12)
- DOS at the Fermi energy (states/eV per cell) = 3.5

Cell: 5.850 5.850 6.955 Å, 125.41 125.41 39.98°
Element x y z (fractional)
Dy1 0.069 0.069 0.298
Dy2 0.931 0.931 0.702
Si1 0.356 0.356 0.311
Si2 0.644 0.644 0.689
Tc1 0.294 0.294 0.905
Tc2 0.706 0.706 0.095
C1 0.500 0.500 0.000

***

Entry 3:
Below is Dy2Ti2Si2C after structural relaxation, with properties calculated at the PBE level.

- calculated total energy (eV per atom) = -7.214
- ΔE_f (raw) (eV per atom) = -0.776
- space group = I4/mmm (139)
- DOS at the Fermi energy (states/eV per cell) = 6.0

Cell: 8.053 8.053 8.053 Å, 150.20 150.20 42.64°
Element x y z (fractional)
Dy1 0.167 0.167 0.000
Dy2 0.833 0.833 0.000
Ti1 0.000 0.500 0.500
Ti2 0.500 0.000 0.500
Si1 0.376 0.376 0.000
Si2 0.624 0.624 0.000
C1 0.000 0.000 0.000

***

Entry 4:
Below is DyU2SiC4 after structural relaxation, with properties calculated at the PBE level.

- calculated total energy (eV per atom) = -8.822
- ΔE_f (raw) (eV per atom) = -0.135
- space group = Cmcm (63)
- DOS at the Fermi energy (states/eV per cell) = 11.8

Cell: 5.918 5.918 11.583 Å, 90.00 90.00 145.43°
Element x y z (fractional)
Dy1 0.106 0.894 0.750
Dy2 0.894 0.106 0.250
U1 0.372 0.628 0.551
U2 0.372 0.628 0.949
U3 0.628 0.372 0.051
U4 0.628 0.372 0.449
Si1 0.161 0.839 0.250
Si2 0.839 0.161 0.750
C1 0.000 0.000 0.000
C2 0.000 0.000 0.500
C3 0.263 0.737 0.123
C4 0.263 0.737 0.377
C5 0.428 0.572 0.750
C6 0.572 0.428 0.250
C7 0.737 0.263 0.623
C8 0.737 0.263 0.877

***

Entry 5:
Below is SmDyC after structural relaxation, with properties calculated at the PBE level.

- calculated total energy (eV per atom) = -6.395
- formation energy (eV/f.u.) = -0.64
- energy relative to the lowest polymorph listed for this composition (kJ per mole of atoms) = 0.1
- space group = C2/m (12)
- DOS at the Fermi energy (states/eV per cell) = 4.7

Cell: 6.652 6.652 6.279 Å, 99.02 99.02 31.61°
Element x y z (fractional)
Sm1 0.112 0.112 0.370
Sm2 0.888 0.888 0.630
Dy1 0.395 0.395 0.132
Dy2 0.605 0.605 0.868
C1 0.000 0.000 0.000
C2 0.500 0.500 0.500

***

Entry 6:
Below is SmDy3C after structural relaxation, with properties calculated at the PBE level.

- calculated total energy (eV per atom) = -5.558
- formation energy (eV/f.u.) = -0.04
- space group = Pm-3m (221)
- DOS at the Fermi energy (states/eV per cell) = 5.0

Cell: 5.061 5.061 5.061 Å, 90.00 90.00 90.00°
Element x y z (fractional)
Sm1 0.000 0.000 0.000
Dy1 0.000 0.500 0.500
Dy2 0.500 0.000 0.500
Dy3 0.500 0.500 0.000
C1 0.500 0.500 0.500

***

Entry 7:
Below is SmDy3C8 after structural relaxation, with properties calculated at the PBE level.

- calculated total energy (eV per atom) = -7.566
- formation energy (eV/f.u.) = 1.52
- space group = Fmm2 (42)
- DOS at the Fermi energy (states/eV per cell) = 4.7

Cell: 6.364 6.161 6.760 Å, 58.80 55.90 65.30°
Element x y z (fractional)
Sm1 0.000 0.000 0.000
Dy1 0.220 0.220 0.280
Dy2 0.509 0.509 0.491
Dy3 0.720 0.720 0.780
C1 0.102 0.436 0.898
C2 0.130 0.633 0.367
C3 0.400 0.890 0.600
C4 0.436 0.102 0.564
C5 0.585 0.920 0.080
C6 0.633 0.130 0.870
C7 0.890 0.400 0.110
C8 0.920 0.585 0.415

***

Entry 8:
Below is Sm3DyC after structural relaxation, with properties calculated at the PBE level.

- calculated total energy (eV per atom) = -5.533
- formation energy (eV/f.u.) = 0.32
- space group = Pm-3m (221)
- DOS at the Fermi energy (states/eV per cell) = 6.3

Cell: 5.167 5.167 5.167 Å, 90.00 90.00 90.00°
Element x y z (fractional)
Sm1 0.000 0.000 0.500
Sm2 0.000 0.500 0.000
Sm3 0.500 0.000 0.000
Dy1 0.500 0.500 0.500
C1 0.000 0.000 0.000

***

Entry 9:
Below is SmDyC after structural relaxation, with properties calculated at the PBE level.

- calculated total energy (eV per atom) = -6.383
- formation energy (eV/f.u.) = -0.60
- energy relative to the lowest polymorph listed for this composition (kJ per mole of atoms) = 1.3
- space group = P3m1 (156)
- DOS at the Fermi energy (states/eV per cell) = 2.5

Cell: 3.603 3.603 6.414 Å, 90.00 90.00 120.00°
Element x y z (fractional)
Sm1 0.000 0.000 0.000
Dy1 0.333 0.667 0.571
C1 0.667 0.333 0.776

***

Entry 10:
Below is SmDyC after structural relaxation, with properties calculated at the PBE level.

- calculated total energy (eV per atom) = -5.854
- formation energy (eV/f.u.) = 0.98
- energy relative to the lowest polymorph listed for this composition (kJ per mole of atoms) = 52.3
- space group = P-62m (189)
- DOS at the Fermi energy (states/eV per cell) = 8.1

Cell: 7.111 7.111 3.925 Å, 90.00 90.00 120.00°
Element x y z (fractional)
Sm1 0.000 0.408 0.000
Sm2 0.408 0.000 0.000
Sm3 0.592 0.592 0.000
Dy1 0.000 0.730 0.500
Dy2 0.270 0.270 0.500
Dy3 0.730 0.000 0.500
C1 0.000 0.000 0.000
C2 0.333 0.667 0.500
C3 0.667 0.333 0.500

***

Entry 11:
Below is SmDy2C after structural relaxation, with properties calculated at the PBE level.

- calculated total energy (eV per atom) = -5.876
- formation energy (eV/f.u.) = -0.36
- energy relative to the lowest polymorph listed for this composition (kJ per mole of atoms) = 9.1
- space group = R-3m (166)
- DOS at the Fermi energy (states/eV per cell) = 4.4

Cell: 10.006 10.006 10.006 Å, 20.34 20.34 20.34°
Element x y z (fractional)
Sm1 0.000 0.000 0.000
Dy1 0.121 0.121 0.121
Dy2 0.879 0.879 0.879
C1 0.500 0.500 0.500

***

Entry 12:
Below is SmDyC after structural relaxation, with properties calculated at the PBE level.

- calculated total energy (eV per atom) = -6.396
- formation energy (eV/f.u.) = -0.64
- energy relative to the lowest polymorph listed for this composition (kJ per mole of atoms) = 0.0
- space group = P2_1/m (11)
- DOS at the Fermi energy (states/eV per cell) = 5.0

Cell: 6.272 3.625 6.671 Å, 90.00 108.54 90.00°
Element x y z (fractional)
Sm1 0.009 0.250 0.279
Sm2 0.991 0.750 0.721
Dy1 0.489 0.250 0.712
Dy2 0.511 0.750 0.288
C1 0.256 0.750 0.502
C2 0.744 0.250 0.498